[1]
An optimized crystal structure of LuTiAgAu. Source: Alexandria via LeMat-Bulk, functional PBE.

Cell: 6.834 6.834 6.834 Å, 90.00 90.00 90.00°
Space group F-43m (No. 216)
Symmetry-distinct sites (fractional):
Lu 0.000 0.000 0.000
Ti 0.000 0.000 0.500
Ag 0.250 0.250 0.250
Au 0.250 0.250 0.750

Summary:
DOS(E_F)   1.23 states/eV/atom
Raw total energy   -0.1815 Ha/atom

=====

[2]
An optimized crystal structure of Zn4CuAg7. Source: Alexandria via LeMat-Bulk, functional PBE.

Cell: 4.997 5.599 7.293 Å, 90.01 103.94 92.04°
Space group P-1 (No. 2)
Symmetry-distinct sites (fractional):
Zn 0.195 0.478 0.178
Zn 0.278 0.796 0.810
Cu 0.000 0.000 0.500
Ag 0.000 0.500 0.500
Ag 0.204 0.977 0.168
Ag 0.314 0.298 0.857
Ag 0.494 0.248 0.501

Summary:
DOS(E_F)   0.28 states/eV/atom
Raw total energy   -0.0891 Ha/atom

=====

[3]
An optimized crystal structure of Li2MgZn2Cu2. Source: Alexandria via LeMat-Bulk, functional PBE.

Cell: 9.009 4.182 5.374 Å, 90.00 90.61 90.00°
Space group C2/m (No. 12)
Symmetry-distinct sites (fractional):
Li 0.091 0.000 0.191
Mg 0.000 0.500 0.500
Zn 0.203 0.000 0.672
Cu 0.137 0.500 0.940

Summary:
DOS(E_F)   0.28 states/eV/atom
Raw total energy   -0.0893 Ha/atom

=====

Number 1: E_form -304 meV/atom. Number 2: E_form 5 meV/atom. Number 3: E_form -121 meV/atom.